SrFeO3 PBE+U relaxed; final energy = -0.4428 Ry per atom
1.0
0.000 5.149 5.149
5.149 0.000 5.149
5.149 5.149 0.000
O Fe Sr
12 4 4
Direct
0.455 0.045 0.045 O
0.045 0.455 0.455 O
0.455 0.455 0.045 O
0.795 0.205 0.205 O
0.795 0.205 0.795 O
0.045 0.045 0.455 O
0.045 0.455 0.045 O
0.205 0.795 0.795 O
0.795 0.795 0.205 O
0.205 0.795 0.205 O
0.205 0.205 0.795 O
0.455 0.045 0.455 O
0.125 0.625 0.125 Fe
0.625 0.125 0.125 Fe
0.125 0.125 0.125 Fe
0.125 0.125 0.625 Fe
0.625 0.625 0.125 Sr
0.125 0.625 0.625 Sr
0.625 0.625 0.625 Sr
0.625 0.125 0.625 Sr